1.
PBE CsVCrNi2, optimized geometry; magnetization = 0.85 μB/cell; formation energy = 2.042 eV/atom; calculated total energy = -20.95 eV/cell; space group = No. 123
1.0
4.3921 0.0000 0.0000
0.0000 4.3921 0.0000
0.0000 0.0000 5.1746
V Cs Ni Cr
1 1 2 1
Direct
0.5000 0.5000 0.5000
0.0000 0.0000 0.5000
0.5000 0.0000 0.0000
0.0000 0.5000 0.0000
0.0000 0.0000 0.0000

2.
PBE Cs4Np3CrSe8, optimized geometry; magnetization = 7.46 μB/cell; calculated total energy = -96.90 eV/cell; formation energy (no corrections) = -1.0725 eV per atom; space group = No. 166
1.0
8.4916 0.0000 0.0000
0.0000 9.6436 0.7987
-4.2458 -4.2387 6.0096
Cs Se Np Cr
4 8 3 1
Direct
0.5000 0.0000 0.5000
0.0000 0.0000 0.5000
0.5000 0.0000 0.0000
0.0000 0.0000 0.0000
0.2712 0.3137 0.5423
0.2199 0.6787 0.4398
0.7390 0.6787 0.9589
0.7288 0.6863 0.4577
0.7801 0.3213 0.5602
0.2610 0.3213 0.0411
0.2199 0.6787 0.9589
0.7801 0.3213 0.0411
0.0000 0.5000 0.5000
0.5000 0.5000 0.5000
0.5000 0.5000 0.0000
0.0000 0.5000 0.0000

3.
PBE Cs2Np2CrSe6, optimized geometry; magnetization = 10.00 μB/cell; calculated total energy = -69.81 eV/cell; formation energy (no corrections) = -1.0625 eV per atom; space group = No. 12
1.0
-1.2004 1.2108 -6.8188
-5.4258 -1.2041 4.3028
1.6705 8.3813 2.4546
Se Np Cr Cs
6 2 1 2
Direct
0.2506 0.2506 0.3255
0.0628 0.3746 0.6766
0.7494 0.7494 0.6745
0.3746 0.0628 0.6766
0.6254 0.9372 0.3234
0.9372 0.6254 0.3234
0.3328 0.6672 0.5000
0.6672 0.3328 0.5000
0.0000 0.0000 0.5000
0.8300 0.1700 0.0000
0.1700 0.8300 0.0000

4.
PBE Cs3Np2CrSe6, optimized geometry; magnetization = 11.00 μB/cell; calculated total energy = -71.61 eV/cell; formation energy (no corrections) = -1.0533 eV per atom; space group = No. 12
1.0
-3.8889 -4.9451 3.6609
3.1548 -1.7987 -6.3081
7.0968 -0.1049 4.9812
Se Cs Np Cr
6 3 2 1
Direct
0.7396 0.7396 0.1801
0.3792 0.0596 0.1789
0.9404 0.6208 0.8211
0.0596 0.3792 0.1789
0.2604 0.2604 0.8199
0.6208 0.9404 0.8211
0.5000 0.5000 0.5000
0.8322 0.1678 0.5000
0.1678 0.8322 0.5000
0.6666 0.3334 0.0000
0.3334 0.6666 0.0000
0.0000 0.0000 0.0000